1.
VASP calculation (GGA-PBE) on SiSbH2 after structural relaxation.

Output
* distance to the lowest polymorph of the same formula: 87 meV per atom

Lattice parameters (Å, degrees): 4.112 4.292 9.234 82.24 79.00 62.86
Atoms (fractional coordinates):
Si 0.700 0.848 0.474
Sb 0.115 0.867 0.665
H 0.539 0.601 0.192
Si 0.858 0.629 0.235
H 0.537 0.242 0.441
H 0.174 0.270 0.232
Sb 0.361 0.237 0.849
H 0.955 0.869 0.121

2.
VASP calculation (GGA-PBE) on SiSb2H after structural relaxation.

Output
* distance to the lowest polymorph of the same formula: 122 meV per atom

Lattice parameters (Å, degrees): 4.722 4.722 4.722 60.00 60.00 60.00
Atoms (fractional coordinates):
Sb 0.250 0.250 0.250
Si 0.500 0.500 0.500
H 0.000 0.000 0.000
Sb 0.750 0.750 0.750

3.
VASP calculation (GGA-PBE) on SiSbH2 after structural relaxation.

Output
* distance to the lowest polymorph of the same formula: 0 meV per atom

Lattice parameters (Å, degrees): 4.282 5.859 6.989 78.46 72.40 70.19
Atoms (fractional coordinates):
Si 0.714 0.261 0.892
Si 0.646 0.311 0.230
Sb 0.052 0.793 0.909
H 0.987 0.251 0.274
Sb 0.744 0.662 0.645
H 0.375 0.236 0.888
H 0.472 0.134 0.370
H 0.440 0.562 0.286

4.
VASP calculation (GGA-PBE) on SiSbH2 after structural relaxation.

Output
* distance to the lowest polymorph of the same formula: 705 meV per atom

Lattice parameters (Å, degrees): 4.062 4.062 4.062 60.00 60.00 60.00
Atoms (fractional coordinates):
Si 0.000 0.000 0.000
Sb 0.500 0.500 0.500
H 0.750 0.750 0.750
H 0.250 0.250 0.250

5.
VASP calculation (GGA-PBE) on SiSbH2 after structural relaxation.

Output
* distance to the lowest polymorph of the same formula: 116 meV per atom

Lattice parameters (Å, degrees): 3.552 5.325 3.987 90.00 112.79 90.00
Atoms (fractional coordinates):
H 0.646 0.353 0.318
Si 0.000 0.524 0.500
H 0.354 0.353 0.682
Sb 0.000 0.842 0.000

6.
VASP calculation (GGA-PBE) on SiSbH2 after structural relaxation.

Output
* distance to the lowest polymorph of the same formula: 92 meV per atom

Lattice parameters (Å, degrees): 4.156 5.712 7.498 67.89 77.84 69.85
Atoms (fractional coordinates):
H 0.077 0.200 0.875
Si 0.815 0.874 0.290
Si 0.716 0.317 0.269
Sb 0.371 0.606 0.486
Sb 0.863 0.969 0.913
H 0.614 0.484 0.068
H 0.254 0.726 0.910
H 0.081 0.320 0.264

7.
VASP calculation (GGA-PBE) on SiSb2TeH after structural relaxation.

Output
* distance to the lowest polymorph of the same formula: 0 meV per atom

Lattice parameters (Å, degrees): 4.431 4.431 5.422 90.00 90.00 90.00
Atoms (fractional coordinates):
Te 0.000 0.000 0.500
H 0.000 0.000 0.000
Sb 0.000 0.500 0.000
Sb 0.500 0.000 0.000
Si 0.500 0.500 0.500

8.
VASP calculation (GGA-PBE) on SiSb2TeH after structural relaxation.

Output
* distance to the lowest polymorph of the same formula: 356 meV per atom

Lattice parameters (Å, degrees): 5.255 5.255 5.340 90.00 90.00 90.00
Each line ends with the local moment (μB).
Atoms (fractional coordinates):
Te 0.000 0.000 0.500  0.02
H 0.500 0.500 0.500  0.31
Sb 0.000 0.500 0.000  -0.01
Sb 0.500 0.000 0.000  -0.01
Si 0.000 0.000 0.000  -0.02

9.
VASP calculation (GGA-PBE) on Ti7SiSb2H2 after structural relaxation.

Output
* uncorrected energy: -82.04 eV for the cell shown

Lattice parameters (Å, degrees): 3.974 3.974 11.659 80.07 80.07 90.00
Atoms (fractional coordinates):
Ti 0.587 0.087 0.827
Ti 0.913 0.413 0.173
H 0.412 0.412 0.173
Ti 0.413 0.913 0.173
Ti 0.500 0.500 0.000
Si 0.000 0.000 0.000
Sb 0.819 0.819 0.357
Ti 0.298 0.298 0.399
Ti 0.087 0.587 0.827
H 0.588 0.588 0.827
Ti 0.702 0.702 0.601
Sb 0.181 0.181 0.643

10.
VASP calculation (GGA-PBE) on Sm6Sb5H after structural relaxation.

Output
* uncorrected energy: -63.79 eV for the cell shown

Lattice parameters (Å, degrees): 7.650 7.631 7.615 59.93 80.38 70.53
Atoms (fractional coordinates):
H 0.000 0.000 0.000
Sb 0.000 0.666 0.668
Sm 0.248 0.583 0.334
Sm 0.752 0.417 0.666
Sb 0.500 0.831 0.337
Sm 0.256 0.251 0.000
Sm 0.752 0.083 0.334
Sb 0.500 0.500 0.000
Sb 0.500 0.169 0.663
Sm 0.248 0.917 0.666
Sb 0.000 0.334 0.332
Sm 0.744 0.749 0.000

11.
VASP calculation (GGA-PBE) on Sm12Sb3H5 after structural relaxation.

Output
* uncorrected energy: -377.60 eV for the cell shown

Lattice parameters (Å, degrees): 13.814 13.814 13.814 109.47 109.47 109.47
Atoms (fractional coordinates):
Sm 0.403 0.111 0.596
Sm 0.903 0.096 0.611
Sm 0.611 0.596 0.903
H 0.000 0.000 0.500
Sm 0.904 0.807 0.515
Sm 0.208 0.693 0.097
H 0.125 0.375 0.250
Sm 0.792 0.485 0.389
Sm 0.389 0.404 0.097
Sm 0.903 0.807 0.792
Sm 0.404 0.015 0.307
Sm 0.307 0.792 0.403
Sm 0.096 0.193 0.485
Sm 0.792 0.307 0.903
Sm 0.807 0.904 0.015
Sm 0.111 0.403 0.096
H 0.875 0.625 0.750
Sm 0.208 0.515 0.611
Sm 0.485 0.693 0.096
Sb 0.875 0.750 0.125
Sm 0.097 0.193 0.208
Sm 0.096 0.903 0.111
H 0.375 0.250 0.125
H 0.875 0.250 0.625
H 0.625 0.875 0.250
Sm 0.097 0.904 0.389
Sm 0.904 0.097 0.889
H 0.625 0.750 0.875
Sb 0.125 0.250 0.875
Sm 0.708 0.111 0.015
Sb 0.875 0.125 0.250
Sm 0.193 0.096 0.985
Sm 0.015 0.611 0.708
H 0.000 0.000 0.000
Sm 0.693 0.208 0.597
H 0.500 0.500 0.000
Sm 0.515 0.307 0.904
Sm 0.193 0.097 0.708
H 0.125 0.750 0.375
Sb 0.250 0.625 0.875
Sm 0.597 0.708 0.693
H 0.500 0.000 0.500
Sb 0.750 0.375 0.125
H 0.500 0.500 0.500
Sm 0.889 0.292 0.485
H 0.250 0.375 0.625
Sm 0.889 0.597 0.904
Sm 0.807 0.903 0.292
Sb 0.375 0.625 0.250
Sm 0.485 0.792 0.889
Sm 0.403 0.292 0.307
Sm 0.111 0.708 0.515
Sm 0.611 0.015 0.208
Sm 0.389 0.985 0.792
Sm 0.597 0.889 0.404
Sm 0.015 0.404 0.807
Sb 0.625 0.375 0.750
Sb 0.750 0.875 0.625
Sm 0.596 0.611 0.403
H 0.000 0.500 0.500
Sm 0.307 0.515 0.404
Sb 0.375 0.750 0.625
Sm 0.985 0.596 0.193
Sb 0.625 0.250 0.375
Sm 0.985 0.389 0.292
Sm 0.292 0.403 0.807
Sm 0.708 0.597 0.193
H 0.000 0.500 0.000
Sm 0.515 0.208 0.111
H 0.750 0.625 0.375
H 0.375 0.125 0.750
H 0.750 0.125 0.875
Sm 0.292 0.889 0.985
Sb 0.125 0.875 0.750
H 0.500 0.000 0.000
Sm 0.404 0.389 0.597
Sm 0.693 0.485 0.596
Sb 0.250 0.125 0.375
H 0.250 0.875 0.125
Sm 0.596 0.985 0.693

12.
VASP calculation (GGA-PBE) on Sm3SbH3 after structural relaxation.

Output
* uncorrected energy: -65.46 eV for the cell shown

Lattice parameters (Å, degrees): 6.375 6.375 6.375 90.00 90.00 90.00
Atoms (fractional coordinates):
H 0.250 0.000 0.500
Sm 0.500 0.000 0.250
H 0.500 0.750 0.000
H 0.000 0.500 0.750
Sb 0.500 0.500 0.500
Sm 0.000 0.250 0.500
H 0.000 0.500 0.250
H 0.500 0.250 0.000
H 0.750 0.000 0.500
Sm 0.000 0.750 0.500
Sb 0.000 0.000 0.000
Sm 0.750 0.500 0.000
Sm 0.250 0.500 0.000
Sm 0.500 0.000 0.750

13.
VASP calculation (GGA-PBE) on Sm4Sb3H2 after structural relaxation.

Output
* uncorrected energy: -46.22 eV for the cell shown

Lattice parameters (Å, degrees): 4.273 7.061 9.105 121.19 90.00 107.61
Atoms (fractional coordinates):
Sb 0.000 0.000 0.000
Sm 0.099 0.198 0.402
Sm 0.687 0.374 0.107
Sb 0.387 0.773 0.294
H 0.305 0.610 0.621
Sm 0.901 0.802 0.598
Sb 0.613 0.227 0.706
Sm 0.313 0.626 0.893
H 0.695 0.390 0.379

14.
VASP calculation (GGA-PBE) on Sm2SbH after structural relaxation.

Output
* distance to the lowest polymorph of the same formula: 0 meV per atom

Lattice parameters (Å, degrees): 8.495 5.235 8.310 90.00 75.16 90.00
Atoms (fractional coordinates):
Sb 0.298 0.746 0.807
H 0.601 0.155 0.591
Sm 0.465 0.755 0.140
Sm 0.965 0.745 0.140
Sm 0.127 0.751 0.495
Sm 0.035 0.255 0.860
H 0.899 0.655 0.409
Sb 0.798 0.754 0.807
H 0.101 0.345 0.591
H 0.399 0.845 0.409
Sm 0.873 0.249 0.505
Sb 0.202 0.246 0.193
Sb 0.702 0.254 0.193
Sm 0.535 0.245 0.860
Sm 0.627 0.749 0.495
Sm 0.373 0.251 0.505

15.
VASP calculation (GGA-PBE) on Sm4Sb3H after structural relaxation.

Output
* uncorrected energy: -82.81 eV for the cell shown

Lattice parameters (Å, degrees): 6.237 6.245 12.355 90.00 90.00 90.00
Atoms (fractional coordinates):
Sm 0.065 0.824 0.000
Sm 0.629 0.249 0.000
H 0.990 0.182 0.000
H 0.490 0.818 0.500
Sm 0.566 0.757 0.245
Sb 0.567 0.257 0.251
Sm 0.129 0.751 0.500
Sb 0.567 0.257 0.749
Sb 0.067 0.743 0.249
Sb 0.065 0.250 0.500
Sm 0.565 0.176 0.500
Sb 0.565 0.750 0.000
Sb 0.067 0.743 0.751
Sm 0.066 0.243 0.255
Sm 0.066 0.243 0.745
Sm 0.566 0.757 0.755

16.
VASP calculation (GGA-PBE) on Sm3Sb3H2 after structural relaxation.

Output
* uncorrected energy: -78.73 eV for the cell shown

Lattice parameters (Å, degrees): 4.100 6.190 15.325 90.00 90.00 109.34
Atoms (fractional coordinates):
Sb 0.066 0.132 0.606
H 0.230 0.460 0.062
H 0.770 0.540 0.938
Sb 0.934 0.868 0.394
Sm 0.644 0.289 0.052
Sm 0.356 0.711 0.948
Sb 0.623 0.246 0.250
Sb 0.934 0.868 0.106
H 0.770 0.540 0.562
Sm 0.343 0.687 0.250
H 0.230 0.460 0.438
Sm 0.657 0.313 0.750
Sb 0.377 0.754 0.750
Sm 0.644 0.289 0.448
Sb 0.066 0.132 0.894
Sm 0.356 0.711 0.552

17.
VASP calculation (GGA-PBE) on Sm2SbH after structural relaxation.

Output
* distance to the lowest polymorph of the same formula: 291 meV per atom

Lattice parameters (Å, degrees): 4.371 4.371 8.115 74.38 74.38 60.00
Each line ends with the local moment (μB).
Atoms (fractional coordinates):
H 0.000 0.000 0.000  0.00
Sb 0.500 0.500 0.500  -0.01
Sm 0.090 0.090 0.730  0.14
Sm 0.910 0.910 0.270  0.14

18.
VASP calculation (GGA-PBE) on Sm5Sb5H2 after structural relaxation.

Output
* uncorrected energy: -59.78 eV for the cell shown

Lattice parameters (Å, degrees): 4.274 7.740 12.071 119.85 90.00 106.03
Atoms (fractional coordinates):
Sb 0.341 0.681 0.969
Sb 0.311 0.622 0.700
Sm 0.099 0.197 0.411
H 0.920 0.840 0.248
Sb 0.689 0.378 0.300
H 0.080 0.160 0.752
Sm 0.000 0.000 0.000
Sm 0.679 0.359 0.779
Sb 0.500 0.000 0.500
Sb 0.659 0.319 0.031
Sm 0.321 0.641 0.221
Sm 0.901 0.803 0.589

19.
VASP calculation (GGA-PBE) on Sm2Sb2H after structural relaxation.

Output
* uncorrected energy: -50.45 eV for the cell shown

Lattice parameters (Å, degrees): 4.396 6.251 9.543 90.00 103.32 90.00
Atoms (fractional coordinates):
Sm 0.834 0.528 0.667
H 0.373 0.423 0.747
Sb 0.210 0.534 0.421
Sm 0.409 0.077 0.819
Sm 0.591 0.577 0.181
Sb 0.790 0.034 0.579
H 0.627 0.923 0.253
Sb 0.995 0.804 0.990
Sm 0.166 0.028 0.333
Sb 0.005 0.304 0.010

20.
VASP calculation (GGA-PBE) on Sm4Sb5H after structural relaxation.

Output
* uncorrected energy: -48.14 eV for the cell shown

Lattice parameters (Å, degrees): 4.375 8.088 8.850 72.47 104.31 90.00
Atoms (fractional coordinates):
H 0.500 0.000 0.000
Sb 0.215 0.770 0.431
Sm 0.644 0.051 0.288
Sm 0.957 0.256 0.913
Sm 0.043 0.744 0.087
Sb 0.856 0.654 0.712
Sb 0.144 0.346 0.288
Sb 0.785 0.230 0.569
Sm 0.356 0.949 0.712
Sb 0.500 0.500 0.000